Entry from Alexandria via LeMat-Bulk: a relaxed LaDyHo2Bi4 crystal (GGA-PBE). Values from VASP.

```
&SYSTEM
  ibrav = 0, nat = 8, ntyp = 4
/
ATOMIC_SPECIES
La 138.91 La.upf
Dy 162.50 Dy.upf
Ho 164.93 Ho.upf
Bi 208.98 Bi.upf
ATOMIC_POSITIONS crystal
La 0.5000 0.5000 0.0000
Dy 0.0000 0.5000 0.5000
Ho 0.0000 0.0000 0.0000
Ho 0.5000 0.0000 0.5000
Bi 0.0000 0.7597 0.7409
Bi 0.0000 0.2403 0.2591
Bi 0.5000 0.7555 0.2539
Bi 0.5000 0.2445 0.7461
CELL_PARAMETERS angstrom
-2.3096 -2.0386 3.3298
2.9242 -6.9277 -2.2130
6.7102 -1.3511 3.8272
```

D(E_F) = 1.17 states/eV/cell
Total magnetization = 0.000 μB/atom
ΔE_f = -0.89 eV/atom

---

Entry from Alexandria via LeMat-Bulk: a relaxed La2DyHoBi4 crystal (GGA-PBE). Values from VASP.

```
&SYSTEM
  ibrav = 0, nat = 8, ntyp = 4
/
ATOMIC_SPECIES
La 138.91 La.upf
Dy 162.50 Dy.upf
Ho 164.93 Ho.upf
Bi 208.98 Bi.upf
ATOMIC_POSITIONS crystal
La 0.5000 0.0000 0.5000
La 0.0000 0.5000 0.5000
Dy 0.0000 0.0000 0.0000
Ho 0.5000 0.5000 0.0000
Bi 0.5000 0.2461 0.2367
Bi 0.5000 0.7539 0.7633
Bi 0.0000 0.2550 0.7635
Bi 0.0000 0.7450 0.2365
CELL_PARAMETERS angstrom
4.5987 0.0000 0.0000
0.0000 7.9577 0.1375
0.0000 -2.7817 7.4215
```

D(E_F) = 1.15 states/eV/cell
Total magnetization = 0.000 μB/atom
ΔE_f = -0.95 eV/atom

---

Entry from Alexandria via LeMat-Bulk: a relaxed La3Dy2HoBi6 crystal (GGA-PBE). Values from VASP.

```
&SYSTEM
  ibrav = 0, nat = 12, ntyp = 4
/
ATOMIC_SPECIES
La 138.91 La.upf
Dy 162.50 Dy.upf
Ho 164.93 Ho.upf
Bi 208.98 Bi.upf
ATOMIC_POSITIONS crystal
La 0.1670 0.8330 0.5000
La 0.8330 0.1670 0.5000
La 0.5000 0.5000 0.5000
Dy 0.3336 0.6664 0.0000
Dy 0.6664 0.3336 0.0000
Ho 0.0000 0.0000 0.0000
Bi 0.9212 0.5884 0.7634
Bi 0.7464 0.7464 0.2371
Bi 0.0788 0.4116 0.2366
Bi 0.5884 0.9212 0.7634
Bi 0.2536 0.2536 0.7629
Bi 0.4116 0.0788 0.2366
CELL_PARAMETERS angstrom
-4.2350 -3.4641 5.7862
5.5274 -4.1728 -3.9308
4.7051 4.6288 4.3894
```

D(E_F) = 2.28 states/eV/cell
Total magnetization = 0.000 μB/atom
ΔE_f = -0.95 eV/atom

---

Entry from Alexandria via LeMat-Bulk: a relaxed DyHo2MgBi4 crystal (GGA-PBE). Values from VASP.

```
&SYSTEM
  ibrav = 0, nat = 8, ntyp = 4
/
ATOMIC_SPECIES
Dy 162.50 Dy.upf
Ho 164.93 Ho.upf
Mg 24.30 Mg.upf
Bi 208.98 Bi.upf
ATOMIC_POSITIONS crystal
Dy 0.0000 0.5000 0.5000
Ho 0.0000 0.0000 0.0000
Ho 0.5000 0.0000 0.5000
Mg 0.5000 0.5000 0.0000
Bi 0.0000 0.7440 0.7569
Bi 0.0000 0.2560 0.2431
Bi 0.5000 0.7497 0.2482
Bi 0.5000 0.2503 0.7518
CELL_PARAMETERS angstrom
4.4240 0.0000 0.0000
0.0000 7.7551 -0.1341
0.0000 2.7469 7.2404
```

D(E_F) = 3.25 states/eV/cell
Total magnetization = 0.000 μB/atom
ΔE_f = -0.60 eV/atom

---

Entry from Alexandria via LeMat-Bulk: a relaxed Nd2DyHoBi5 crystal (GGA-PBE). Values from VASP.

```
&SYSTEM
  ibrav = 0, nat = 9, ntyp = 4
/
ATOMIC_SPECIES
Nd 144.24 Nd.upf
Dy 162.50 Dy.upf
Ho 164.93 Ho.upf
Bi 208.98 Bi.upf
ATOMIC_POSITIONS crystal
Nd 0.5000 0.5000 0.2747
Nd 0.5000 0.5000 0.7253
Dy 0.0000 0.0000 0.0000
Ho 0.0000 0.0000 0.5000
Bi 0.0000 0.5000 0.5000
Bi 0.5000 0.0000 0.5000
Bi 0.0000 0.0000 0.7538
Bi 0.0000 0.0000 0.2462
Bi 0.5000 0.5000 0.0000
CELL_PARAMETERS angstrom
-2.9776 -3.7016 -2.6034
4.1893 -3.4333 0.0903
-3.7680 -4.3228 10.4560
```

D(E_F) = 5.89 states/eV/cell
Total magnetization = 0.000 μB/atom
ΔE_f = -0.13 eV/atom

---

Entry from Alexandria via LeMat-Bulk: a relaxed NdDy3Ho2Bi6 crystal (GGA-PBE). Values from VASP.

```
&SYSTEM
  ibrav = 0, nat = 12, ntyp = 4
/
ATOMIC_SPECIES
Nd 144.24 Nd.upf
Dy 162.50 Dy.upf
Ho 164.93 Ho.upf
Bi 208.98 Bi.upf
ATOMIC_POSITIONS crystal
Nd 0.5000 0.0000 0.0000
Dy 0.5000 0.5000 0.0000
Dy 0.8347 0.1680 0.6694
Dy 0.1653 0.8320 0.3306
Ho 0.8326 0.6667 0.6653
Ho 0.1674 0.3333 0.3347
Bi 0.3307 0.9150 0.6613
Bi 0.6668 0.5821 0.3336
Bi 0.6693 0.0850 0.3387
Bi 0.0010 0.2566 0.0021
Bi 0.9990 0.7434 0.9979
Bi 0.3332 0.4179 0.6664
CELL_PARAMETERS angstrom
4.4942 0.0000 0.0000
0.0000 8.9820 0.3253
-2.2471 -2.5822 9.4435
```

D(E_F) = 2.01 states/eV/cell
Total magnetization = 0.000 μB/atom
ΔE_f = -0.86 eV/atom

---

Entry from Alexandria via LeMat-Bulk: a relaxed Nd2DyHoBi4 crystal (GGA-PBE). Values from VASP.

```
&SYSTEM
  ibrav = 0, nat = 8, ntyp = 4
/
ATOMIC_SPECIES
Nd 144.24 Nd.upf
Dy 162.50 Dy.upf
Ho 164.93 Ho.upf
Bi 208.98 Bi.upf
ATOMIC_POSITIONS crystal
Nd 0.5000 0.0000 0.5000
Nd 0.0000 0.5000 0.5000
Dy 0.0000 0.0000 0.0000
Ho 0.5000 0.5000 0.0000
Bi 0.5000 0.2474 0.2408
Bi 0.5000 0.7526 0.7592
Bi 0.0000 0.2536 0.7595
Bi 0.0000 0.7464 0.2405
CELL_PARAMETERS angstrom
-1.8545 -4.1452 -0.1696
2.6227 -0.8719 -7.3647
5.4202 -2.6312 5.0418
```

D(E_F) = 1.24 states/eV/cell
Total magnetization = 0.000 μB/atom
ΔE_f = -0.90 eV/atom

---

Entry from Alexandria via LeMat-Bulk: a relaxed NdDyHo2Bi4 crystal (GGA-PBE). Values from VASP.

```
&SYSTEM
  ibrav = 0, nat = 8, ntyp = 4
/
ATOMIC_SPECIES
Nd 144.24 Nd.upf
Dy 162.50 Dy.upf
Ho 164.93 Ho.upf
Bi 208.98 Bi.upf
ATOMIC_POSITIONS crystal
Nd 0.5000 0.5000 0.0000
Dy 0.0000 0.5000 0.5000
Ho 0.0000 0.0000 0.0000
Ho 0.5000 0.0000 0.5000
Bi 0.0000 0.7569 0.7437
Bi 0.0000 0.2431 0.2563
Bi 0.5000 0.7542 0.2525
Bi 0.5000 0.2458 0.7475
CELL_PARAMETERS angstrom
-0.6639 0.0336 4.4573
-3.8666 -6.7506 -0.5250
5.0024 -5.9305 0.7898
```

D(E_F) = 1.23 states/eV/cell
Total magnetization = 0.000 μB/atom
ΔE_f = -0.87 eV/atom

---

Entry from Alexandria via LeMat-Bulk: a relaxed Nd2Dy3HoBi6 crystal (GGA-PBE). Values from VASP.

```
&SYSTEM
  ibrav = 0, nat = 12, ntyp = 4
/
ATOMIC_SPECIES
Nd 144.24 Nd.upf
Dy 162.50 Dy.upf
Ho 164.93 Ho.upf
Bi 208.98 Bi.upf
ATOMIC_POSITIONS crystal
Nd 0.8342 0.6674 0.6685
Nd 0.1658 0.3326 0.3315
Dy 0.5000 0.5000 0.0000
Dy 0.8319 0.1660 0.6637
Dy 0.1681 0.8340 0.3363
Ho 0.5000 0.0000 0.0000
Bi 0.3343 0.9233 0.6685
Bi 0.6649 0.5883 0.3298
Bi 0.6657 0.0767 0.3315
Bi 0.9971 0.2476 0.9942
Bi 0.0029 0.7524 0.0058
Bi 0.3351 0.4117 0.6702
CELL_PARAMETERS angstrom
4.5200 0.0000 0.0000
0.0000 9.0300 0.3274
-2.2600 -2.5954 9.4959
```

D(E_F) = 2.01 states/eV/cell
Total magnetization = 0.000 μB/atom
ΔE_f = -0.88 eV/atom

---

Entry from Alexandria via LeMat-Bulk: a relaxed Nd2DyHo3Bi6 crystal (GGA-PBE). Values from VASP.

```
&SYSTEM
  ibrav = 0, nat = 12, ntyp = 4
/
ATOMIC_SPECIES
Nd 144.24 Nd.upf
Dy 162.50 Dy.upf
Ho 164.93 Ho.upf
Bi 208.98 Bi.upf
ATOMIC_POSITIONS crystal
Nd 0.8340 0.6676 0.6681
Nd 0.1660 0.3324 0.3319
Dy 0.5000 0.0000 0.0000
Ho 0.5000 0.5000 0.0000
Ho 0.8321 0.1664 0.6642
Ho 0.1679 0.8336 0.3358
Bi 0.3337 0.9240 0.6674
Bi 0.6646 0.5886 0.3292
Bi 0.6663 0.0760 0.3326
Bi 0.9970 0.2491 0.9941
Bi 0.0030 0.7509 0.0059
Bi 0.3354 0.4114 0.6708
CELL_PARAMETERS angstrom
4.5152 0.0000 0.0000
0.0000 9.0186 0.3298
-2.2576 -2.5896 9.4862
```

D(E_F) = 2.01 states/eV/cell
Total magnetization = 0.000 μB/atom
ΔE_f = -0.87 eV/atom

---

Entry from Alexandria via LeMat-Bulk: a relaxed DyHoBi2O6 crystal (GGA-PBE). Values from VASP.

```
&SYSTEM
  ibrav = 0, nat = 10, ntyp = 4
/
ATOMIC_SPECIES
Dy 162.50 Dy.upf
Ho 164.93 Ho.upf
Bi 208.98 Bi.upf
O 16.00 O.upf
ATOMIC_POSITIONS crystal
Dy 0.8082 0.8083 0.5752
Ho 0.3088 0.3088 0.0735
Bi 0.5220 0.5221 0.4339
Bi 0.0219 0.0218 0.9344
O 0.6208 0.1765 0.2493
O 0.1765 0.9534 0.2493
O 0.9534 0.6209 0.2492
O 0.4514 0.6759 0.7501
O 0.6759 0.1226 0.7501
O 0.1227 0.4514 0.7500
CELL_PARAMETERS angstrom
6.0176 0.0003 -0.0002
3.0091 5.2114 -0.0003
3.0085 1.7373 5.0791
```

D(E_F) = 0.00 states/eV/cell
Total magnetization = 0.000 μB/atom
Uncorrected formation energy = -2.38 eV/atom

---

Entry from Alexandria via LeMat-Bulk: a relaxed Dy2HoPaBi4 crystal (GGA-PBE). Values from VASP.

```
&SYSTEM
  ibrav = 0, nat = 8, ntyp = 4
/
ATOMIC_SPECIES
Dy 162.50 Dy.upf
Ho 164.93 Ho.upf
Pa 231.04 Pa.upf
Bi 208.98 Bi.upf
ATOMIC_POSITIONS crystal
Dy 0.5000 0.0000 0.5000
Dy 0.0000 0.5000 0.5000
Ho 0.0000 0.0000 0.0000
Pa 0.5000 0.5000 0.0000
Bi 0.5000 0.2494 0.2491
Bi 0.5000 0.7506 0.7509
Bi 0.0000 0.2479 0.7486
Bi 0.0000 0.7521 0.2514
CELL_PARAMETERS angstrom
4.4645 0.0000 0.0000
0.0000 7.7467 0.1475
0.0000 -2.6940 7.2683
```

D(E_F) = 7.26 states/eV/cell
Total magnetization = 0.133 μB/atom
ΔE_f = -0.65 eV/atom

---

Entry from Alexandria via LeMat-Bulk: a relaxed DyHoBiPb crystal (GGA-PBE). Values from VASP.

```
&SYSTEM
  ibrav = 0, nat = 4, ntyp = 4
/
ATOMIC_SPECIES
Dy 162.50 Dy.upf
Ho 164.93 Ho.upf
Bi 208.98 Bi.upf
Pb 207.20 Pb.upf
ATOMIC_POSITIONS crystal
Dy 0.0000 0.8915 0.5924
Ho 0.5000 0.3915 0.0925
Bi 0.5000 0.3915 0.5925
Pb 0.0000 0.8915 0.0924
CELL_PARAMETERS angstrom
4.4415 0.0000 0.0000
0.0000 4.4728 0.2608
0.0000 -0.3779 6.2826
```

D(E_F) = 2.93 states/eV/cell
Total magnetization = 0.000 μB/atom
ΔE_f = -0.58 eV/atom

---

Entry from Alexandria via LeMat-Bulk: a relaxed Pm3DyHo2Bi6 crystal (GGA-PBE). Values from VASP.

```
&SYSTEM
  ibrav = 0, nat = 12, ntyp = 4
/
ATOMIC_SPECIES
Pm 145.00 Pm.upf
Dy 162.50 Dy.upf
Ho 164.93 Ho.upf
Bi 208.98 Bi.upf
ATOMIC_POSITIONS crystal
Pm 0.5000 0.5000 0.0000
Pm 0.8335 0.1668 0.6670
Pm 0.1665 0.8332 0.3330
Dy 0.5000 0.0000 0.0000
Ho 0.8333 0.6667 0.6666
Ho 0.1667 0.3333 0.3334
Bi 0.3348 0.9120 0.6696
Bi 0.6685 0.5788 0.3370
Bi 0.6652 0.0880 0.3304
Bi 0.0019 0.2463 0.0037
Bi 0.9981 0.7537 0.9963
Bi 0.3315 0.4212 0.6630
CELL_PARAMETERS angstrom
-1.1767 -4.3490 0.4086
6.6218 -1.2248 6.0333
-7.0895 4.7777 5.3916
```

D(E_F) = 2.01 states/eV/cell
Total magnetization = 0.000 μB/atom
ΔE_f = -0.89 eV/atom

---

Entry from Alexandria via LeMat-Bulk: a relaxed PmDy2Ho3Bi6 crystal (GGA-PBE). Values from VASP.

```
&SYSTEM
  ibrav = 0, nat = 12, ntyp = 4
/
ATOMIC_SPECIES
Pm 145.00 Pm.upf
Dy 162.50 Dy.upf
Ho 164.93 Ho.upf
Bi 208.98 Bi.upf
ATOMIC_POSITIONS crystal
Pm 0.5000 0.0000 0.0000
Dy 0.8328 0.6667 0.6657
Dy 0.1672 0.3333 0.3343
Ho 0.5000 0.5000 0.0000
Ho 0.8343 0.1676 0.6686
Ho 0.1657 0.8324 0.3314
Bi 0.3311 0.9165 0.6621
Bi 0.6663 0.5835 0.3327
Bi 0.6689 0.0835 0.3379
Bi 0.0003 0.2557 0.0007
Bi 0.9997 0.7443 0.9993
Bi 0.3337 0.4165 0.6673
CELL_PARAMETERS angstrom
-4.3960 0.8192 0.3550
-0.3380 -5.0292 7.4215
4.1417 8.5264 3.2693
```

D(E_F) = 2.00 states/eV/cell
Total magnetization = 0.000 μB/atom
ΔE_f = -0.86 eV/atom

---

Entry from Alexandria via LeMat-Bulk: a relaxed Pm2DyHo3Bi6 crystal (GGA-PBE). Values from VASP.

```
&SYSTEM
  ibrav = 0, nat = 12, ntyp = 4
/
ATOMIC_SPECIES
Pm 145.00 Pm.upf
Dy 162.50 Dy.upf
Ho 164.93 Ho.upf
Bi 208.98 Bi.upf
ATOMIC_POSITIONS crystal
Pm 0.8339 0.6673 0.6679
Pm 0.1661 0.3327 0.3321
Dy 0.5000 0.0000 0.0000
Ho 0.5000 0.5000 0.0000
Ho 0.8323 0.1663 0.6646
Ho 0.1677 0.8337 0.3354
Bi 0.3336 0.9225 0.6672
Bi 0.6650 0.5877 0.3300
Bi 0.6664 0.0775 0.3328
Bi 0.9976 0.2494 0.9951
Bi 0.0024 0.7506 0.0049
Bi 0.3350 0.4123 0.6700
CELL_PARAMETERS angstrom
4.5036 0.0000 0.0000
0.0000 8.9988 0.3284
-2.2518 -2.5845 9.4634
```

D(E_F) = 2.00 states/eV/cell
Total magnetization = 0.000 μB/atom
ΔE_f = -0.87 eV/atom

---

Entry from Alexandria via LeMat-Bulk: a relaxed Pm2DyHoBi4 crystal (GGA-PBE). Values from VASP.

```
&SYSTEM
  ibrav = 0, nat = 8, ntyp = 4
/
ATOMIC_SPECIES
Pm 145.00 Pm.upf
Dy 162.50 Dy.upf
Ho 164.93 Ho.upf
Bi 208.98 Bi.upf
ATOMIC_POSITIONS crystal
Pm 0.5000 0.0000 0.5000
Pm 0.0000 0.5000 0.5000
Dy 0.5000 0.5000 0.0000
Ho 0.0000 0.0000 0.0000
Bi 0.5000 0.2470 0.2423
Bi 0.5000 0.7530 0.7577
Bi 0.0000 0.2520 0.7573
Bi 0.0000 0.7480 0.2427
CELL_PARAMETERS angstrom
-1.2534 0.8056 -4.2758
5.6675 -4.7705 -2.5602
-6.5609 -4.1187 1.1473
```

D(E_F) = 1.24 states/eV/cell
Total magnetization = 0.000 μB/atom
ΔE_f = -0.89 eV/atom

---

Entry from Alexandria via LeMat-Bulk: a relaxed Pm2Dy3HoBi6 crystal (GGA-PBE). Values from VASP.

```
&SYSTEM
  ibrav = 0, nat = 12, ntyp = 4
/
ATOMIC_SPECIES
Pm 145.00 Pm.upf
Dy 162.50 Dy.upf
Ho 164.93 Ho.upf
Bi 208.98 Bi.upf
ATOMIC_POSITIONS crystal
Pm 0.8340 0.6674 0.6679
Pm 0.1660 0.3326 0.3321
Dy 0.5000 0.5000 0.0000
Dy 0.8321 0.1664 0.6643
Dy 0.1679 0.8336 0.3357
Ho 0.5000 0.0000 0.0000
Bi 0.3341 0.9222 0.6683
Bi 0.6652 0.5870 0.3304
Bi 0.6659 0.0778 0.3317
Bi 0.9977 0.2480 0.9955
Bi 0.0023 0.7520 0.0045
Bi 0.3348 0.4130 0.6696
CELL_PARAMETERS angstrom
-1.4233 -3.4012 2.5952
6.0407 -5.4691 -3.8548
5.6316 5.4597 6.3271
```

D(E_F) = 2.01 states/eV/cell
Total magnetization = 0.000 μB/atom
ΔE_f = -0.88 eV/atom

---

Entry from Alexandria via LeMat-Bulk: a relaxed Pm2DyHoBi5 crystal (GGA-PBE). Values from VASP.

```
&SYSTEM
  ibrav = 0, nat = 9, ntyp = 4
/
ATOMIC_SPECIES
Pm 145.00 Pm.upf
Dy 162.50 Dy.upf
Ho 164.93 Ho.upf
Bi 208.98 Bi.upf
ATOMIC_POSITIONS crystal
Pm 0.5000 0.5000 0.2736
Pm 0.5000 0.5000 0.7264
Dy 0.0000 0.0000 0.0000
Ho 0.0000 0.0000 0.5000
Bi 0.0000 0.5000 0.5000
Bi 0.5000 0.0000 0.5000
Bi 0.0000 0.0000 0.7538
Bi 0.0000 0.0000 0.2462
Bi 0.5000 0.5000 0.0000
CELL_PARAMETERS angstrom
-5.3046 -0.1146 1.0571
-0.9797 -1.5632 -5.0858
0.9093 -11.3969 3.3277
```

D(E_F) = 5.90 states/eV/cell
Total magnetization = 0.000 μB/atom
ΔE_f = -0.10 eV/atom

---

Entry from Alexandria via LeMat-Bulk: a relaxed PmDyHo2Bi4 crystal (GGA-PBE). Values from VASP.

```
&SYSTEM
  ibrav = 0, nat = 8, ntyp = 4
/
ATOMIC_SPECIES
Pm 145.00 Pm.upf
Dy 162.50 Dy.upf
Ho 164.93 Ho.upf
Bi 208.98 Bi.upf
ATOMIC_POSITIONS crystal
Pm 0.5000 0.5000 0.0000
Dy 0.0000 0.5000 0.5000
Ho 0.0000 0.0000 0.0000
Ho 0.5000 0.0000 0.5000
Bi 0.0000 0.7557 0.7449
Bi 0.0000 0.2443 0.2551
Bi 0.5000 0.7535 0.2519
Bi 0.5000 0.2465 0.7481
CELL_PARAMETERS angstrom
4.4979 0.0000 0.0000
0.0000 7.7822 -0.1522
0.0000 2.7399 7.2875
```

D(E_F) = 1.24 states/eV/cell
Total magnetization = 0.000 μB/atom
ΔE_f = -0.87 eV/atom

---

Entry from Alexandria via LeMat-Bulk: a relaxed Pr2DyHoBi4 crystal (GGA-PBE). Values from VASP.

```
&SYSTEM
  ibrav = 0, nat = 8, ntyp = 4
/
ATOMIC_SPECIES
Pr 140.91 Pr.upf
Dy 162.50 Dy.upf
Ho 164.93 Ho.upf
Bi 208.98 Bi.upf
ATOMIC_POSITIONS crystal
Pr 0.5000 0.0000 0.5000
Pr 0.0000 0.5000 0.5000
Dy 0.0000 0.0000 0.0000
Ho 0.5000 0.5000 0.0000
Bi 0.5000 0.2468 0.2389
Bi 0.5000 0.7532 0.7611
Bi 0.0000 0.2543 0.7615
Bi 0.0000 0.7457 0.2385
CELL_PARAMETERS angstrom
4.5605 0.0000 0.0000
0.0000 7.8929 0.1377
0.0000 -2.7602 7.3824
```

D(E_F) = 1.23 states/eV/cell
Total magnetization = 0.000 μB/atom
ΔE_f = -0.90 eV/atom

---

Entry from Alexandria via LeMat-Bulk: a relaxed Pr2DyHoBi5 crystal (GGA-PBE). Values from VASP.

```
&SYSTEM
  ibrav = 0, nat = 9, ntyp = 4
/
ATOMIC_SPECIES
Pr 140.91 Pr.upf
Dy 162.50 Dy.upf
Ho 164.93 Ho.upf
Bi 208.98 Bi.upf
ATOMIC_POSITIONS crystal
Pr 0.5000 0.5000 0.2755
Pr 0.5000 0.5000 0.7245
Dy 0.0000 0.0000 0.0000
Ho 0.0000 0.0000 0.5000
Bi 0.0000 0.5000 0.5000
Bi 0.5000 0.0000 0.5000
Bi 0.0000 0.0000 0.7539
Bi 0.0000 0.0000 0.2461
Bi 0.5000 0.5000 0.0000
CELL_PARAMETERS angstrom
5.4238 0.0000 0.0000
0.0000 5.4238 0.0000
0.0000 0.0000 11.9469
```

D(E_F) = 5.86 states/eV/cell
Total magnetization = 0.000 μB/atom
ΔE_f = -0.15 eV/atom

---

Entry from Alexandria via LeMat-Bulk: a relaxed PrDy2Ho3Bi6 crystal (GGA-PBE). Values from VASP.

```
&SYSTEM
  ibrav = 0, nat = 12, ntyp = 4
/
ATOMIC_SPECIES
Pr 140.91 Pr.upf
Dy 162.50 Dy.upf
Ho 164.93 Ho.upf
Bi 208.98 Bi.upf
ATOMIC_POSITIONS crystal
Pr 0.5000 0.0000 0.0000
Dy 0.8325 0.6663 0.6651
Dy 0.1675 0.3337 0.3349
Ho 0.5000 0.5000 0.0000
Ho 0.8348 0.1679 0.6696
Ho 0.1652 0.8321 0.3304
Bi 0.3299 0.9158 0.6599
Bi 0.6663 0.5835 0.3326
Bi 0.6701 0.0842 0.3401
Bi 0.0006 0.2585 0.0012
Bi 0.9994 0.7415 0.9988
Bi 0.3337 0.4165 0.6674
CELL_PARAMETERS angstrom
-4.0445 -1.2812 -1.4922
3.8430 -3.6949 -7.2440
1.9536 -6.6994 7.2339
```

D(E_F) = 2.01 states/eV/cell
Total magnetization = 0.000 μB/atom
ΔE_f = -0.86 eV/atom